This record from Alexandria describes a relaxed structure of TiCrTc3. The functional is PBE-GGA.

Cell lengths 4.397, 4.397, 4.397 Å; angles 90.00, 90.00, 90.00 degrees
Sites, in units of the cell vectors:
Cr (0.000, 0.000, 0.000)
Tc (0.000, 0.500, 0.000)
Tc (0.000, 0.000, 0.500)
Tc (0.500, 0.000, 0.000)
Ti (0.500, 0.500, 0.500)

total moment = 0.00 μB per formula unit
energy above the lowest structure with this stoichiometry = 0 meV per atom
symmetry = Pm-3m